This record from Alexandria via LeMat-Bulk describes a geometry-optimized Fe2Si3 structure. The functional is PBE.

The space group is Fddd (No. 70, origin choice 2) and the conventional cell measures 4.4012, 7.8570 and 13.6124 Å, with angles of 90.00, 90.00 and 90.00 degrees. Symmetry generates all atoms from Fe at (0.1250, 0.1250, 0.3102), Si at (0.1250, 0.1250, 0.1250) and Si at (0.1250, 0.1250, 0.4856).

The formation energy from raw total energies is -349 meV per atom. As for the total energy: -6.988 eV per atom.

---

This record from Alexandria via LeMat-Bulk describes a geometry-optimized FeSi2 structure. The functional is PBE.

The space group is P4/mmm (No. 123) and the conventional cell measures 2.6999, 2.6999 and 5.1411 Å, with angles of 90.00, 90.00 and 90.00 degrees. Symmetry generates all atoms from Fe at (0.0000, 0.0000, 0.0000) and Si at (0.5000, 0.5000, 0.2729).

The formation energy from raw total energies is -383 meV per atom. As for the total energy: -6.820 eV per atom.